No. 1
Compound: Pu2MgCl6
Source: Alexandria
Functional: GGA-PBE
Structure: optimized geometry

## Properties
**Uncorrected formation energy**: -1756 meV/atom
**SG**: No. 12
**Total moment**: 12.000 μB per formula unit

Cell: 3.803 8.181 9.224 Å, 105.05 90.00 103.44°
Last column: magnetic moment on the atom in μB.
Fractional positions:
Pu 0.662 0.323 0.858  5.67
Pu 0.338 0.677 0.142  5.67
Mg 0.000 0.000 0.500  0.00
Cl 0.287 0.574 0.831  -0.05
Cl 0.713 0.426 0.169  -0.05
Cl 0.976 0.952 0.215  -0.02
Cl 0.610 0.221 0.531  -0.01
Cl 0.024 0.048 0.785  -0.02
Cl 0.390 0.779 0.469  -0.01

***

No. 2
Compound: PuMgCl6
Source: Alexandria
Functional: GGA-PBE
Structure: optimized geometry

## Properties
**Uncorrected formation energy**: -1685 meV/atom
**SG**: No. 148
**Total moment**: 4.000 μB per formula unit

Cell: 6.545 6.545 7.034 Å, 62.27 62.27 59.98°
Last column: magnetic moment on the atom in μB.
Fractional positions:
Pu 0.000 0.000 0.000  4.37
Mg 0.500 0.500 0.500  0.00
Cl 0.112 0.396 0.744  -0.06
Cl 0.748 0.112 0.744  -0.06
Cl 0.604 0.252 0.256  -0.06
Cl 0.252 0.888 0.256  -0.06
Cl 0.888 0.604 0.256  -0.06
Cl 0.396 0.748 0.744  -0.06

***

No. 3
Compound: PuMg2Cl8
Source: Alexandria
Functional: GGA-PBE
Structure: optimized geometry

## Properties
**Uncorrected formation energy**: -1645 meV/atom
**SG**: No. 12
**Total moment**: 3.988 μB per formula unit

Cell: 6.525 8.927 8.927 Å, 45.98 95.10 95.10°
Last column: magnetic moment on the atom in μB.
Fractional positions:
Pu 0.000 0.000 0.000  4.41
Mg 0.551 0.841 0.841  0.00
Mg 0.449 0.159 0.159  0.00
Cl 0.262 0.315 0.827  -0.06
Cl 0.738 0.173 0.685  -0.06
Cl 0.193 0.867 0.867  -0.05
Cl 0.807 0.133 0.133  -0.05
Cl 0.262 0.827 0.315  -0.06
Cl 0.738 0.685 0.173  -0.06
Cl 0.617 0.709 0.709  -0.03
Cl 0.383 0.291 0.291  -0.03

***

No. 4
Compound: Pu2MgCl6
Source: Alexandria
Functional: GGA-PBE
Structure: optimized geometry

## Properties
**Uncorrected formation energy**: -1728 meV/atom
**SG**: No. 136
**Total moment**: 12.000 μB per formula unit

Cell: 6.503 6.503 12.149 Å, 90.00 90.00 90.00°
Last column: magnetic moment on the atom in μB.
Fractional positions:
Pu 0.500 0.500 0.341  5.76
Pu 0.500 0.500 0.659  5.76
Pu 0.000 0.000 0.159  5.76
Pu 0.000 0.000 0.841  5.76
Mg 0.500 0.500 0.000  0.01
Mg 0.000 0.000 0.500  0.01
Cl 0.689 0.689 0.153  -0.02
Cl 0.689 0.689 0.847  -0.02
Cl 0.724 0.724 0.500  -0.03
Cl 0.776 0.224 0.000  -0.03
Cl 0.811 0.189 0.347  -0.02
Cl 0.811 0.189 0.653  -0.02
Cl 0.189 0.811 0.347  -0.02
Cl 0.189 0.811 0.653  -0.02
Cl 0.224 0.776 0.000  -0.03
Cl 0.276 0.276 0.500  -0.03
Cl 0.311 0.311 0.153  -0.02
Cl 0.311 0.311 0.847  -0.02

***

No. 5
Compound: PuMgCl6
Source: Alexandria
Functional: GGA-PBE
Structure: optimized geometry

## Properties
**Uncorrected formation energy**: -1695 meV/atom
**SG**: No. 12
**Total moment**: 4.000 μB per formula unit

Cell: 6.420 6.412 7.123 Å, 63.25 82.20 72.44°
Last column: magnetic moment on the atom in μB.
Fractional positions:
Pu 0.000 0.000 0.000  4.36
Mg 0.500 0.500 0.000  0.00
Cl 0.739 0.396 0.728  -0.06
Cl 0.739 0.124 0.272  -0.06
Cl 0.261 0.876 0.728  -0.06
Cl 0.261 0.604 0.272  -0.06
Cl 0.751 0.750 0.000  -0.06
Cl 0.249 0.250 0.000  -0.06

***

No. 6
Compound: PuMgCl2
Source: Alexandria
Functional: GGA-PBE
Structure: optimized geometry

## Properties
**Uncorrected formation energy**: -976 meV/atom
**SG**: No. 166
**Total moment**: 6.578 μB per formula unit

Cell: 3.547 3.547 10.218 Å, 80.01 80.01 60.00°
Last column: magnetic moment on the atom in μB.
Fractional positions:
Mg 0.500 0.500 0.500  0.00
Cl 0.119 0.119 0.642  0.00
Cl 0.881 0.881 0.358  0.00
Pu 0.000 0.000 0.000  5.84

***

No. 7
Compound: PuMgCl4
Source: Alexandria
Functional: GGA-PBE
Structure: optimized geometry

## Properties
**Uncorrected formation energy**: -1756 meV/atom
**SG**: No. 10
**Total moment**: 6.000 μB per formula unit

Cell: 3.704 6.572 7.141 Å, 96.07 90.00 90.00°
Last column: magnetic moment on the atom in μB.
Fractional positions:
Pu 0.500 0.000 0.500  5.69
Mg 0.000 0.000 0.000  0.00
Cl 0.000 0.766 0.693  -0.02
Cl 0.500 0.210 0.871  -0.01
Cl 0.500 0.790 0.129  -0.01
Cl 0.000 0.234 0.307  -0.02

***

No. 8
Compound: RbPuMgCl6
Source: Alexandria
Functional: GGA-PBE
Structure: optimized geometry

## Properties
**Uncorrected formation energy**: -1923 meV/atom
**SG**: No. 163
**Total moment**: 5.000 μB per formula unit

Cell: 6.947 6.947 14.350 Å, 90.00 90.00 120.00°
Last column: magnetic moment on the atom in μB.
Fractional positions:
Rb 0.000 0.000 0.000  0.00
Rb 0.000 0.000 0.500  0.00
Pu 0.667 0.333 0.250  5.03
Pu 0.333 0.667 0.750  5.03
Mg 0.333 0.667 0.250  0.00
Mg 0.667 0.333 0.750  0.00
Cl 0.616 0.637 0.148  -0.02
Cl 0.021 0.384 0.148  -0.02
Cl 0.384 0.021 0.648  -0.02
Cl 0.979 0.616 0.852  -0.02
Cl 0.363 0.384 0.352  -0.02
Cl 0.021 0.637 0.352  -0.02
Cl 0.637 0.021 0.852  -0.02
Cl 0.616 0.979 0.352  -0.02
Cl 0.979 0.363 0.648  -0.02
Cl 0.363 0.979 0.148  -0.02
Cl 0.637 0.616 0.648  -0.02
Cl 0.384 0.363 0.852  -0.02

***

We obtain total energy values of -6.35 -5.06 -4.58 -6.32 -5.07 -5.88 -5.64 -5.03 eV per atom for the records listed above, in that order.